[1]
Entry from the Alexandria database: an optimized crystal structure of ZnCo2Os (PBEsol).

Lattice parameters (Å, degrees): 2.6026 2.6026 7.0520 90.00 90.00 90.00
Fractional positions:
Zn  0.0000  0.0000  0.0000
Co  0.0000  0.0000  0.4724
Co  0.5000  0.5000  0.2481
Os  0.5000  0.5000  0.7139

Summary:
The total magnetization is 0.470 μB/atom.

=====

[2]
Entry from the Alexandria database: an optimized crystal structure of AlZn2Hg (PBEsol).

Lattice parameters (Å, degrees): 8.5168 3.1837 5.0865 90.00 100.20 90.00
Fractional positions:
Al  0.0000  0.0000  0.0000
Al  0.5000  0.5000  0.0000
Zn  0.2475  0.5000  0.2393
Zn  0.4909  0.0000  0.4476
Zn  0.7475  0.0000  0.2393
Zn  0.9909  0.5000  0.4476
Hg  0.2458  0.0000  0.7270
Hg  0.7458  0.5000  0.7270

Summary:
Its energy above the most stable polymorph in this dataset is 0 meV/atom. The total magnetization is 0.000 μB/atom.

=====

[3]
Entry from the Alexandria database: an optimized crystal structure of MnNbAg2Pd (PBEsol).

Lattice parameters (Å, degrees): 4.9841 4.9841 4.2851 90.00 90.00 90.00
Fractional positions:
Mn  0.0000  0.0000  0.0000
Nb  0.0000  0.0000  0.5000
Ag  0.0000  0.5000  0.5000
Ag  0.5000  0.0000  0.5000
Pd  0.5000  0.5000  0.0000

Summary:
The total magnetization is 0.209 μB/atom.

=====

[4]
Entry from the Alexandria database: an optimized crystal structure of KCrMo2 (PBEsol).

Lattice parameters (Å, degrees): 3.1028 3.1028 8.6029 90.00 90.00 90.00
Fractional positions:
K  0.0000  0.0000  0.0000
Cr  0.5000  0.5000  0.6714
Mo  0.0000  0.0000  0.5179
Mo  0.5000  0.5000  0.3525

Summary:
Its energy above the most stable polymorph in this dataset is 102 meV/atom. The total magnetization is 0.702 μB/atom.

=====

[5]
Entry from the Alexandria database: an optimized crystal structure of Fe2TcPt (PBEsol).

Lattice parameters (Å, degrees): 5.2695 8.5752 2.5743 90.00 114.98 90.00
Fractional positions:
Fe  0.2500  0.2500  0.0000
Fe  0.2500  0.7500  0.0000
Fe  0.7500  0.2500  0.0000
Fe  0.7500  0.7500  0.0000
Tc  0.0000  0.0000  0.5000
Tc  0.5000  0.5000  0.5000
Pt  0.0000  0.5000  0.5000
Pt  0.5000  0.0000  0.5000

Summary:
Its energy above the most stable polymorph in this dataset is 185 meV/atom. The total magnetization is 1.356 μB/atom.

=====

[6]
Entry from the Alexandria database: an optimized crystal structure of HWNF2 (PBEsol).

Lattice parameters (Å, degrees): 2.9824 2.9824 4.5707 90.00 90.00 90.00
Fractional positions:
H  0.0000  0.0000  0.0000
W  0.5000  0.5000  0.5000
N  0.0000  0.0000  0.5000
F  0.0000  0.5000  0.0000
F  0.5000  0.0000  0.0000

Summary:
The total magnetization is 0.098 μB/atom.

=====

[7]
Entry from the Alexandria database: an optimized crystal structure of ZrCdRu2 (PBEsol).

Lattice parameters (Å, degrees): 3.2007 4.7791 8.6538 90.00 90.00 90.00
Fractional positions:
Zr  0.0000  0.0000  0.0000
Zr  0.5000  0.5000  0.5000
Cd  0.0000  0.0000  0.5000
Cd  0.5000  0.5000  0.0000
Ru  0.0000  0.5000  0.2616
Ru  0.0000  0.5000  0.7384
Ru  0.5000  0.0000  0.2384
Ru  0.5000  0.0000  0.7616

Summary:
The total magnetization is 0.000 μB/atom.

=====

[8]
Entry from the Alexandria database: an optimized crystal structure of SnS2BrN (PBEsol).

Lattice parameters (Å, degrees): 5.0053 5.0053 3.7578 90.00 90.00 90.00
Fractional positions:
Sn  0.0000  0.0000  0.0000
S  0.0000  0.5000  0.5000
S  0.5000  0.0000  0.5000
Br  0.5000  0.5000  0.5000
N  0.5000  0.5000  0.0000

Summary:
The raw formation energy comes out at 1.0793 eV/atom. The total magnetization is 0.003 μB/atom.

=====

[9]
Entry from the Alexandria database: an optimized crystal structure of ScP3H6O12 (PBEsol).

Lattice parameters (Å, degrees): 9.7639 9.7639 9.7639 50.58 50.58 50.58
Fractional positions:
Sc  0.0000  0.0000  0.0000
Sc  0.5000  0.5000  0.5000
P  0.0867  0.7501  0.4125
P  0.2501  0.5867  0.9125
P  0.4125  0.0867  0.7501
P  0.5867  0.9125  0.2501
P  0.7501  0.4125  0.0867
P  0.9125  0.2501  0.5867
H  0.0362  0.4840  0.1956
H  0.1956  0.0362  0.4840
H  0.4773  0.4775  0.9978
H  0.4775  0.9978  0.4773
H  0.4840  0.1956  0.0362
H  0.4978  0.9775  0.9773
H  0.5362  0.6956  0.9840
H  0.6956  0.9840  0.5362
H  0.9773  0.4978  0.9775
H  0.9775  0.9773  0.4978
H  0.9840  0.5362  0.6956
H  0.9978  0.4773  0.4775
O  0.0022  0.5861  0.5599
O  0.0599  0.0861  0.5022
O  0.0861  0.5022  0.0599
O  0.0907  0.8180  0.2233
O  0.1814  0.7752  0.9107
O  0.2233  0.0907  0.8180
O  0.2752  0.6814  0.4107
O  0.3180  0.5907  0.7233
O  0.4107  0.2752  0.6814
O  0.4131  0.4268  0.9989
O  0.4268  0.9989  0.4131
O  0.4989  0.9268  0.9131
O  0.5022  0.0599  0.0861
O  0.5599  0.0022  0.5861
O  0.5861  0.5599  0.0022
O  0.5907  0.7233  0.3180
O  0.6814  0.4107  0.2752
O  0.7233  0.3180  0.5907
O  0.7752  0.9107  0.1814
O  0.8180  0.2233  0.0907
O  0.9107  0.1814  0.7752
O  0.9131  0.4989  0.9268
O  0.9268  0.9131  0.4989
O  0.9989  0.4131  0.4268

Summary:
The total magnetization is 0.000 μB/atom.

=====

[10]
Entry from the Alexandria database: an optimized crystal structure of CaInSn2Os (PBEsol).

Lattice parameters (Å, degrees): 5.4018 5.4018 4.9946 90.00 90.00 90.00
Fractional positions:
Ca  0.0000  0.0000  0.0000
In  0.5000  0.5000  0.5000
Sn  0.0000  0.5000  0.5000
Sn  0.5000  0.0000  0.5000
Os  0.5000  0.5000  0.0000

Summary:
The total magnetization is 0.142 μB/atom.

=====

[11]
Entry from the Alexandria database: an optimized crystal structure of SrTl2In (PBEsol).

Lattice parameters (Å, degrees): 7.7158 7.7158 7.7158 90.00 90.00 90.00
Fractional positions:
Sr  0.0000  0.0000  0.0000
Sr  0.0000  0.5000  0.5000
Sr  0.5000  0.0000  0.5000
Sr  0.5000  0.5000  0.0000
Tl  0.0000  0.0000  0.5000
Tl  0.0000  0.5000  0.0000
Tl  0.2500  0.2500  0.2500
Tl  0.2500  0.7500  0.7500
Tl  0.5000  0.0000  0.0000
Tl  0.5000  0.5000  0.5000
Tl  0.7500  0.2500  0.7500
Tl  0.7500  0.7500  0.2500
In  0.2500  0.2500  0.7500
In  0.2500  0.7500  0.2500
In  0.7500  0.2500  0.2500
In  0.7500  0.7500  0.7500

Summary:
The total magnetization is 0.000 μB/atom.

=====

[12]
Entry from the Alexandria database: an optimized crystal structure of TaCoSb4 (PBEsol).

Lattice parameters (Å, degrees): 5.8671 5.8671 5.8671 60.00 60.00 60.00
Fractional positions:
Ta  0.0000  0.0000  0.0000
Co  0.7500  0.7500  0.7500
Sb  0.3749  0.3749  0.3749
Sb  0.3749  0.3749  0.8754
Sb  0.3749  0.8754  0.3749
Sb  0.8754  0.3749  0.3749

Summary:
The raw formation energy comes out at 1.2611 eV/atom. The total magnetization is 0.274 μB/atom.

=====

Number 1: calculated total energy -7.1500 eV/atom, N(E_F) 5.3 states/eV per cell. Number 2: calculated total energy -1.8955 eV/atom, N(E_F) 2.4 states/eV per cell. Number 3: calculated total energy -5.0278 eV/atom, N(E_F) 3.4 states/eV per cell. Number 4: calculated total energy -7.7890 eV/atom, N(E_F) 3.0 states/eV per cell. Number 5: calculated total energy -8.8873 eV/atom, N(E_F) 9.8 states/eV per cell. Number 6: calculated total energy -6.1426 eV/atom, N(E_F) 2.3 states/eV per cell. Number 7: calculated total energy -7.5334 eV/atom, N(E_F) 7.5 states/eV per cell. Number 8: calculated total energy -3.6055 eV/atom, N(E_F) 2.8 states/eV per cell. Number 9: calculated total energy -6.7948 eV/atom, N(E_F) 0.0 states/eV per cell. Number 10: calculated total energy -4.1769 eV/atom, N(E_F) 5.9 states/eV per cell. Number 11: calculated total energy -2.7725 eV/atom, N(E_F) 7.7 states/eV per cell. Number 12: calculated total energy -5.1585 eV/atom, N(E_F) 8.3 states/eV per cell.